Below is a PBEsol-optimized structure of MnIr2Ru, with properties calculated at the SCAN level.

## Properties
- Total magnetic moment: 3.1 μB/cell
- Volume: 52.4 Å³ per cell
- Total energy: -48.95 eV per atom

Cell and atoms, written as POSCAR:
```
MnIr2Ru
1.0
2.658 0.000 0.000
1.329 2.302 0.000
1.329 0.767 8.559
Mn Ir Ru
1 2 1
Direct
0.500 0.500 0.500
0.247 0.247 0.259
0.753 0.753 0.741
0.000 0.000 0.000
```